Record 1
SrRe2Pt after structural relaxation. Source: Alexandria, functional GGA-PBE.

Geometry as extended XYZ:
```
4
Lattice="5.5944 -0.0379 0.0000 -2.8186 4.8326 0.0000 0.0000 0.0000 2.6941" Properties=species:S:1:pos:R:3 pbc="T T T"
Re 1.3879 2.3973 0.0000
Re 0.0000 0.0000 0.0000
Sr 2.7972 -0.0190 1.3470
Pt -1.4093 2.4163 1.3470
```

Properties
ΔE to the lowest computed polymorph   2.474 eV/f.u.
Space-group type   Cmmm
Total magnetization   0.00 μB per atom
Energy relative to the elements   862 meV per atom

Record 2
Ca2YCrTc after structural relaxation. Source: Alexandria, functional GGA-PBE.

Geometry as extended XYZ:
```
5
Lattice="-2.3485 -3.7518 -3.7934 4.1032 -2.0966 -0.4667 -1.3392 -3.5975 4.3870" Properties=species:S:1:pos:R:3 pbc="T T T"
Y 0.0000 0.0000 0.0000
Ca -1.1742 -1.8759 -1.8967
Ca -0.6696 -1.7987 2.1935
Tc 0.2078 -4.7229 0.0634
Cr 2.0516 -1.0483 -0.2334
```

Properties
Space-group type   P4/mmm
Total magnetization   1.08 μB per atom
Energy relative to the elements   1832 meV per atom

Record 3
Th2Hg2Pb after structural relaxation. Source: Alexandria, functional GGA-PBE.

Geometry as extended XYZ:
```
10
Lattice="-2.9298 -1.0887 -3.5073 -1.1902 -5.6505 2.7482 -6.9638 7.3597 3.5327" Properties=species:S:1:pos:R:3 pbc="T T T"
Th -3.6627 0.7228 1.2621
Th -7.4211 -0.1024 1.5115
Th -6.2776 3.4780 2.5912
Th -4.8063 -2.8576 0.1825
Hg -7.6681 0.9467 4.5386
Hg -6.0883 2.2264 -0.3248
Hg -3.4157 -0.3262 -1.7649
Hg -4.9956 -1.6060 3.0984
Pb -1.5569 -1.8423 0.2993
Pb -9.5269 2.4627 2.4744
```

Properties
ΔE to the lowest computed polymorph   0.493 eV/f.u.
Space-group type   P2_1/m
Total magnetization   0.00 μB per atom
Energy relative to the elements   -107 meV per atom

Record 4
AcGePdPt after structural relaxation. Source: Alexandria, functional GGA-PBE.

Geometry as extended XYZ:
```
8
Lattice="-1.7857 3.7151 1.1068 -0.4697 -1.4169 3.9984 9.0522 3.6489 2.3565" Properties=species:S:1:pos:R:3 pbc="T T T"
Ge 4.8453 4.1706 2.0471
Ge 3.0792 0.6274 2.8619
Ac 0.9736 2.6099 1.0392
Ac 6.9510 2.1881 3.8698
Pd 4.5261 1.8245 1.1782
Pd 3.3984 2.9736 3.7308
Pt 0.8028 -0.2902 2.2693
Pt 7.1217 5.0882 2.6397
```

Properties
Space-group type   P4/nmm
Total magnetization   0.00 μB per atom
Energy relative to the elements   -846 meV per atom